! CrRuW (PBE-GGA, optimized geometry); values from VASP
&SYSTEM
  ibrav = 0, nat = 3, ntyp = 3
/
ATOMIC_SPECIES
Cr 52.00 Cr.upf
Ru 101.07 Ru.upf
W 183.84 W.upf
CELL_PARAMETERS angstrom
-1.3559 1.3559 5.7504
1.3559 -1.3559 5.7504
1.3559 1.3559 -5.7504
ATOMIC_POSITIONS angstrom
Cr 0.0000 0.0000 0.0000
Ru 0.0000 0.0000 7.4135
W 0.0000 0.0000 3.7382
! DFT total energy = -10.459 eV per atom
! Energy of formation = 0.16 eV/atom
! V = 42.3 Å³ per cell
! Total moment = 0.00 μB per formula unit

---

! CeTh2Ge (PBE-GGA, optimized geometry); values from VASP
&SYSTEM
  ibrav = 0, nat = 4, ntyp = 3
/
ATOMIC_SPECIES
Ce 140.12 Ce.upf
Th 232.04 Th.upf
Ge 72.64 Ge.upf
CELL_PARAMETERS angstrom
4.8164 0.0000 0.0000
0.0000 4.8164 0.0000
0.0000 0.0000 4.6004
ATOMIC_POSITIONS angstrom
Ce 0.0000 0.0000 0.0000
Th 0.0000 2.4082 2.3002
Th 2.4082 0.0000 2.3002
Ge 2.4082 2.4082 0.0000
! DFT total energy = -6.636 eV per atom
! Energy of formation = -0.29 eV/atom
! V = 106.7 Å³ per cell
! Total moment = 0.01 μB per formula unit

---

! Ac2YInPd6 (PBE-GGA, optimized geometry); values from VASP
&SYSTEM
  ibrav = 0, nat = 10, ntyp = 4
/
ATOMIC_SPECIES
Ac 227.00 Ac.upf
Y 88.91 Y.upf
In 114.82 In.upf
Pd 106.42 Pd.upf
CELL_PARAMETERS angstrom
5.8763 0.0000 0.0000
-2.9356 5.0911 0.0000
-0.0097 -3.3833 8.7888
ATOMIC_POSITIONS angstrom
Ac 0.0075 1.6914 1.3091
Ac 2.9236 0.0163 7.4798
Y -0.0049 -1.6917 4.3944
In 2.9382 0.0000 0.0000
Pd -1.4777 4.2226 2.0842
Pd 1.4255 -2.5119 6.7237
Pd -0.0176 -0.0022 6.6985
Pd 2.9487 1.7099 2.0903
Pd 1.5056 4.2196 2.0652
Pd 4.4087 -2.5148 6.7046
! DFT total energy = -5.416 eV per atom
! Energy of formation = -0.56 eV/atom
! V = 262.9 Å³ per cell
! Total moment = 0.00 μB per formula unit

---

! CoMoOs (PBE-GGA, optimized geometry); values from VASP
&SYSTEM
  ibrav = 0, nat = 3, ntyp = 3
/
ATOMIC_SPECIES
Co 58.93 Co.upf
Mo 95.94 Mo.upf
Os 190.23 Os.upf
CELL_PARAMETERS angstrom
2.7101 0.0000 0.0000
-1.3550 2.3470 0.0000
0.0000 0.0000 6.5292
ATOMIC_POSITIONS angstrom
Co 0.0000 0.0000 0.0000
Mo 1.3550 0.7823 2.1593
Os 0.0000 1.5647 4.4326
! DFT total energy = -9.504 eV per atom
! Energy of formation = 0.22 eV/atom
! V = 41.5 Å³ per cell
! Total moment = 1.07 μB per formula unit

---

! Ag3SI (PBE-GGA, optimized geometry); values from VASP
&SYSTEM
  ibrav = 0, nat = 5, ntyp = 3
/
ATOMIC_SPECIES
Ag 107.87 Ag.upf
S 32.06 S.upf
I 126.90 I.upf
CELL_PARAMETERS angstrom
4.9892 0.0000 0.0000
0.0000 4.9892 0.0000
0.0000 0.0000 4.9892
ATOMIC_POSITIONS angstrom
Ag 0.0000 0.0000 2.4946
Ag 0.0000 2.4946 0.0000
Ag 2.4946 0.0000 0.0000
S 0.0000 0.0000 0.0000
I 2.4946 2.4946 2.4946
! DFT total energy = -2.871 eV per atom
! Energy relative to the elements, uncorrected = -0.02 eV per atom
! V = 124.2 Å³ per cell
! Total moment = 0.00 μB per formula unit

---

! Li4Cu3Cl12 (PBE-GGA, optimized geometry); values from VASP
&SYSTEM
  ibrav = 0, nat = 19, ntyp = 3
/
ATOMIC_SPECIES
Li 6.94 Li.upf
Cu 63.55 Cu.upf
Cl 35.45 Cl.upf
CELL_PARAMETERS angstrom
-4.7067 4.7067 4.7067
4.7067 -4.7067 4.7067
4.7067 4.7067 -4.7067
ATOMIC_POSITIONS angstrom
Li 2.3533 2.3533 -2.3533
Li 2.3533 -2.3533 2.3533
Li -2.3533 2.3533 2.3533
Li 2.3533 2.3533 2.3533
Cu 4.7067 0.0000 0.0000
Cu 0.0000 4.7067 0.0000
Cu 0.0000 0.0000 4.7067
Cl 3.1015 0.0000 1.5459
Cl 6.3118 0.0000 1.5459
Cl 4.7067 3.1607 -1.6051
Cl 1.5459 3.1015 0.0000
Cl 3.1607 -1.6051 4.7067
Cl 0.0000 1.5459 3.1015
Cl 4.7067 3.1607 1.6051
Cl 1.5459 6.3118 0.0000
Cl 3.1607 1.6051 4.7067
Cl 0.0000 1.5459 6.3118
Cl -1.6051 4.7067 3.1607
Cl 1.6051 4.7067 3.1607
! DFT total energy = -3.155 eV per atom
! Energy relative to the elements, uncorrected = -0.94 eV per atom
! V = 417.1 Å³ per cell
! Total moment = 1.18 μB per formula unit